A geometry-optimized AlGaFeCo structure. Source: Alexandria, functional PBE.

DOS at the Fermi energy   3.187 states/eV per cell
Volume   47.37 Å³ per cell
Formation enthalpy at 0 K   -0.330 eV/atom
E   -23.66 eV for the cell shown

```
data_AlGaFeCo
_symmetry_space_group_name_H-M 'P m m m'
_symmetry_Int_Tables_number 47
_cell_length_a 2.868
_cell_length_b 4.061
_cell_length_c 4.068
_cell_angle_alpha 90.00
_cell_angle_beta 90.00
_cell_angle_gamma 90.00
loop_
_symmetry_equiv_pos_as_xyz
'x,y,z'
'-x,-y,-z'
'-x,-y,z'
'x,y,-z'
'x,-y,-z'
'-x,y,z'
'-x,y,-z'
'x,-y,z'
loop_
_atom_site_label
_atom_site_type_symbol
_atom_site_fract_x
_atom_site_fract_y
_atom_site_fract_z
Al1 Al 0.000 0.000 0.000
Ga1 Ga 0.000 0.500 0.500
Fe1 Fe 0.500 0.000 0.500
Co1 Co 0.500 0.500 0.000
```

---

A geometry-optimized AlFeCoGe structure. Source: Alexandria, functional PBE.

DOS at the Fermi energy   1.404 states/eV per cell
Volume   47.18 Å³ per cell
Formation enthalpy at 0 K   -0.289 eV/atom
E   -25.08 eV for the cell shown

```
data_AlFeCoGe
_symmetry_space_group_name_H-M 'P 4 m m'
_symmetry_Int_Tables_number 99
_cell_length_a 2.888
_cell_length_b 2.888
_cell_length_c 5.657
_cell_angle_alpha 90.00
_cell_angle_beta 90.00
_cell_angle_gamma 90.00
loop_
_symmetry_equiv_pos_as_xyz
'x,y,z'
'-y,x,z'
'-x,-y,z'
'y,-x,z'
'-x,y,z'
'y,x,z'
'x,-y,z'
'-y,-x,z'
loop_
_atom_site_label
_atom_site_type_symbol
_atom_site_fract_x
_atom_site_fract_y
_atom_site_fract_z
Al1 Al 0.000 0.000 0.000
Fe1 Fe 0.500 0.500 0.257
Co1 Co 0.500 0.500 0.741
Ge1 Ge 0.000 0.000 0.493
```

---

A geometry-optimized Al2FeCoH structure. Source: Alexandria, functional PBE.

DOS at the Fermi energy   1.951 states/eV per cell
Volume   49.92 Å³ per cell
E above lowest polymorph   4 meV per atom
E   -27.70 eV for the cell shown

```
data_Al2FeCoH
_symmetry_space_group_name_H-M 'P 4/m m m'
_symmetry_Int_Tables_number 123
_symmetry_space_group_name_Hall '-P 4 2'
_cell_length_a 4.057
_cell_length_b 4.057
_cell_length_c 3.033
_cell_angle_alpha 90.00
_cell_angle_beta 90.00
_cell_angle_gamma 90.00
loop_
_atom_site_label
_atom_site_type_symbol
_atom_site_fract_x
_atom_site_fract_y
_atom_site_fract_z
Al1 Al 0.000 0.500 0.000
Fe1 Fe 0.000 0.000 0.500
Co1 Co 0.500 0.500 0.500
H1 H 0.000 0.000 0.000
```

---

A geometry-optimized AlFeCo2H structure. Source: Alexandria, functional PBE.

DOS at the Fermi energy   4.738 states/eV per cell
Volume   48.11 Å³ per cell
E above lowest polymorph   0 meV per atom
E   -30.78 eV for the cell shown

```
data_AlFeCo2H
_symmetry_space_group_name_H-M 'P 4/m m m'
_symmetry_Int_Tables_number 123
_symmetry_space_group_name_Hall '-P 4 2'
_cell_length_a 3.681
_cell_length_b 3.681
_cell_length_c 3.550
_cell_angle_alpha 90.00
_cell_angle_beta 90.00
_cell_angle_gamma 90.00
loop_
_atom_site_label
_atom_site_type_symbol
_atom_site_fract_x
_atom_site_fract_y
_atom_site_fract_z
Al1 Al 0.000 0.000 0.000
Fe1 Fe 0.500 0.500 0.000
Co1 Co 0.000 0.500 0.500
H1 H 0.500 0.500 0.500
```

---

Copy entry 2 word for word.
A geometry-optimized AlFeCoGe structure. Source: Alexandria, functional PBE.

DOS at the Fermi energy   1.404 states/eV per cell
Volume   47.18 Å³ per cell
Formation enthalpy at 0 K   -0.289 eV/atom
E   -25.08 eV for the cell shown

```
data_AlFeCoGe
_symmetry_space_group_name_H-M 'P 4 m m'
_symmetry_Int_Tables_number 99
_cell_length_a 2.888
_cell_length_b 2.888
_cell_length_c 5.657
_cell_angle_alpha 90.00
_cell_angle_beta 90.00
_cell_angle_gamma 90.00
loop_
_symmetry_equiv_pos_as_xyz
'x,y,z'
'-y,x,z'
'-x,-y,z'
'y,-x,z'
'-x,y,z'
'y,x,z'
'x,-y,z'
'-y,-x,z'
loop_
_atom_site_label
_atom_site_type_symbol
_atom_site_fract_x
_atom_site_fract_y
_atom_site_fract_z
Al1 Al 0.000 0.000 0.000
Fe1 Fe 0.500 0.500 0.257
Co1 Co 0.500 0.500 0.741
Ge1 Ge 0.000 0.000 0.493
```